Record 1
Material: PaTl2InSe5
Method: DFT, GGA-PBE
State: optimized geometry

Cell and atoms, written as CIF:
```
data_PaTl2InSe5
_cell_length_a 4.225
_cell_length_b 19.051
_cell_length_c 14.350
_cell_angle_alpha 90.00
_cell_angle_beta 90.00
_cell_angle_gamma 90.00
_symmetry_space_group_name_H-M 'C m c 21'
_symmetry_Int_Tables_number 36
loop_
_symmetry_equiv_pos_as_xyz
'x,y,z'
'-x,-y,z+1/2'
'-x,y,z'
'x,-y,z+1/2'
'x+1/2,y+1/2,z'
'-x+1/2,-y+1/2,z+1/2'
'-x+1/2,y+1/2,z'
'x+1/2,-y+1/2,z+1/2'
loop_
_atom_site_label
_atom_site_type_symbol
_atom_site_fract_x
_atom_site_fract_y
_atom_site_fract_z
_atom_site_occupancy
Pa1 Pa 0.000 0.213 0.000 1
Tl1 Tl 0.000 0.108 0.644 1
Tl2 Tl 0.000 0.123 0.298 1
In1 In 0.000 0.440 0.401 1
Se1 Se 0.000 0.058 0.016 1
Se2 Se 0.000 0.287 0.626 1
Se3 Se 0.000 0.299 0.365 1
Se4 Se 0.000 0.350 0.979 1
Se5 Se 0.000 0.496 0.748 1
```

- formation energy without anion corrections (meV/atom) = -809
- total moment (μB/cell) = 0.522
- E_tot (eV/cell) = -166.7

---

Record 2
Material: VIn2Br4
Method: DFT, GGA-PBE
State: optimized geometry

Cell and atoms, written as CIF:
```
data_VIn2Br4
_cell_length_a 5.238
_cell_length_b 5.238
_cell_length_c 16.433
_cell_angle_alpha 90.00
_cell_angle_beta 90.00
_cell_angle_gamma 90.00
_symmetry_space_group_name_H-M 'I 4/m m m'
_symmetry_Int_Tables_number 139
_symmetry_space_group_name_Hall '-I 4 2'
loop_
_atom_site_label
_atom_site_type_symbol
_atom_site_fract_x
_atom_site_fract_y
_atom_site_fract_z
_atom_site_occupancy
V1 V 0.000 0.000 0.000 1
In1 In 0.000 0.000 0.359 1
Br1 Br 0.000 0.000 0.160 1
Br2 Br 0.000 0.500 0.000 1
```

- formation energy without anion corrections (meV/atom) = -650
- total moment (μB/cell) = 6.000
- offset from the most stable computed form (eV per atom) = 0.0516
- E_tot (eV/cell) = -51.7

---

Record 3
Material: ZrScTi2C
Method: DFT, GGA-PBE
State: optimized geometry

Cell and atoms, written as CIF:
```
data_ZrScTi2C
_cell_length_a 4.276
_cell_length_b 4.276
_cell_length_c 4.664
_cell_angle_alpha 90.00
_cell_angle_beta 90.00
_cell_angle_gamma 90.00
_symmetry_space_group_name_H-M 'P 4/m m m'
_symmetry_Int_Tables_number 123
_symmetry_space_group_name_Hall '-P 4 2'
loop_
_atom_site_label
_atom_site_type_symbol
_atom_site_fract_x
_atom_site_fract_y
_atom_site_fract_z
_atom_site_occupancy
Zr1 Zr 0.000 0.000 0.000 1
Sc1 Sc 0.500 0.500 0.000 1
Ti1 Ti 0.000 0.500 0.500 1
C1 C 0.500 0.500 0.500 1
```

- formation enthalpy at 0 K (meV per atom) = -150
- total moment (μB/cell) = 0.036
- offset from the most stable computed form (eV per atom) = 0.0847
- E_tot (eV/cell) = -40.6